1.
Entry from Alexandria: crystalline Ca2InCo at its relaxed geometry (PBE).

Unit cell a=7.4090 b=7.4090 c=7.4090 alpha=96.62 beta=96.62 gamma=140.30
With the nearest neighbours (Å) after each atom.
Element x y z (fractional)
1 Ca 0.3750 0.2201 0.3451  2 Co 2.71
2 Ca 0.7799 0.1250 0.1549  2 Co 2.71
3 Ca 0.8750 0.0299 0.6549  2 Co 2.71
4 Ca 0.9701 0.6250 0.8451  2 Co 2.71
5 In 0.2500 0.7500 0.5000  2 Co 2.52
6 In 0.5000 0.5000 0.0000  2 Co 2.52
7 Co 0.0000 0.0000 0.0000  2 In 2.52, 4 Ca 2.71
8 Co 0.7500 0.2500 0.5000  2 In 2.52, 4 Ca 2.71

Output
Symmetry: No. 122
Total energy in eV/cell: -26.8
Magnetization in μB/f.u.: 0.0
ΔH_f (0 K) in meV/atom: 114

2.
Entry from Alexandria: crystalline Th3C2N at its relaxed geometry (PBE).

Unit cell a=6.4958 b=6.4958 c=3.7664 alpha=106.77 beta=106.77 gamma=48.14
With the nearest neighbours (Å) after each atom.
Element x y z (fractional)
1 Th 0.0000 0.0000 0.0000  2 N 2.65, 4 C 2.66-2.67
2 Th 0.3345 0.3345 0.3344  2 N 2.65, 4 C 2.65-2.66
3 Th 0.6655 0.6655 0.6656  2 N 2.65, 4 C 2.65-2.66
4 C 0.1678 0.1678 0.6683  6 Th 2.65-2.67
5 C 0.8322 0.8322 0.3317  6 Th 2.65-2.67
6 N 0.5000 0.5000 0.0000  6 Th 2.65

Output
Symmetry: No. 12
Total energy in eV/cell: -53.4
Magnetization in μB/f.u.: 0.0
Uncorrected formation energy in eV/atom: -0.724

3.
Entry from Alexandria: crystalline AcZr4S8 at its relaxed geometry (PBE).

Unit cell a=8.2928 b=8.2928 c=8.2928 alpha=52.23 beta=52.23 gamma=52.23
With the nearest neighbours (Å) after each atom.
Element x y z (fractional)
1 Ac 0.0000 0.0000 0.0000  6 S 2.94
2 Zr 0.0000 0.0000 0.5000  6 S 2.58-2.63
3 Zr 0.0000 0.5000 0.0000  6 S 2.58-2.63
4 Zr 0.5000 0.0000 0.0000  6 S 2.58-2.63
5 Zr 0.5000 0.5000 0.5000  6 S 2.59
6 S 0.2359 0.2359 0.2359  3 Zr 2.58
7 S 0.2439 0.7366 0.7366  3 Zr 2.59-2.63
8 S 0.2634 0.2634 0.7561  3 Zr 2.59-2.63
9 S 0.2634 0.7561 0.2634  3 Zr 2.59-2.63
10 S 0.7366 0.2439 0.7366  3 Zr 2.59-2.63
11 S 0.7366 0.7366 0.2439  3 Zr 2.59-2.63
12 S 0.7561 0.2634 0.2634  3 Zr 2.59-2.63
13 S 0.7641 0.7641 0.7641  3 Zr 2.58

Output
Excess energy over the best structure of this formula in the dataset in meV/atom: 0
Symmetry: No. 166
Total energy in eV/cell: -93.4
Magnetization in μB/f.u.: 0.0
Uncorrected formation energy in eV/atom: -1.701

4.
Entry from Alexandria: crystalline NdHo2Cd at its relaxed geometry (PBE).

Unit cell a=3.6202 b=3.6202 c=9.0194 alpha=90.00 beta=90.00 gamma=90.00
With the nearest neighbours (Å) after each atom.
Element x y z (fractional)
1 Nd 0.0000 0.0000 0.0000  8 Ho 3.59, 4 Nd 3.62
2 Ho 0.5000 0.5000 0.2792  4 Cd 3.24, 4 Nd 3.59, 4 Ho 3.62
3 Ho 0.5000 0.5000 0.7208  4 Cd 3.24, 4 Nd 3.59, 4 Ho 3.62
4 Cd 0.0000 0.0000 0.5000  8 Ho 3.24, 4 Cd 3.62

Output
Excess energy over the best structure of this formula in the dataset in meV/atom: 0
Symmetry: No. 123
Total energy in eV/cell: -15.4
Magnetization in μB/f.u.: 0.0
ΔH_f (0 K) in meV/atom: -150